La2MnNi: optimized geometry, PBE-GGA.

Calculated values
N(E_F) = 9.555 states/eV per cell
Space-group type = I-42d
E = -5.90 eV/atom
Calculated formation energy = 0.3004 eV per atom

```
data_La2MnNi
_space_group_name_H-M_alt 'P 1'
_space_group_IT_number 1
_cell_length_a 8.0121
_cell_length_b 8.0121
_cell_length_c 6.4704
_cell_angle_alpha 51.75
_cell_angle_beta 51.75
_cell_angle_gamma 90.00
loop_
_space_group_symop_operation_xyz
'x,y,z'
loop_
_atom_site_label
_atom_site_fract_x
_atom_site_fract_y
_atom_site_fract_z
_atom_site_occupancy
Mn1 0.5000 0.5000 0.0000 1
Mn2 0.2500 0.7500 0.5000 1
Ni1 0.0000 0.0000 0.0000 1
Ni2 0.7500 0.2500 0.5000 1
La1 0.6714 0.1250 0.2500 1
La2 0.0786 0.6250 0.2500 1
La3 0.8750 0.9214 0.7500 1
La4 0.3750 0.3286 0.7500 1
```

La2MnNi: optimized geometry, PBE-GGA.

Calculated values
N(E_F) = 4.382 states/eV per cell
Space-group type = R-3m
E = -6.01 eV/atom
Calculated formation energy = 0.1913 eV per atom

```
data_La2MnNi
_space_group_name_H-M_alt 'P 1'
_space_group_IT_number 1
_cell_length_a 8.4421
_cell_length_b 8.4421
_cell_length_c 8.4421
_cell_angle_alpha 26.39
_cell_angle_beta 26.39
_cell_angle_gamma 26.39
loop_
_space_group_symop_operation_xyz
'x,y,z'
loop_
_atom_site_label
_atom_site_fract_x
_atom_site_fract_y
_atom_site_fract_z
_atom_site_occupancy
La1 0.0104 0.0104 0.0104 1
La2 0.4896 0.4896 0.4896 1
Mn1 0.2500 0.2500 0.2500 1
Ni1 0.7500 0.7500 0.7500 1
```

LaMnNi: optimized geometry, PBE-GGA.

Calculated values
N(E_F) = 2.999 states/eV per cell
Space-group type = F-43m
E = -5.81 eV/atom
Calculated formation energy = 0.8183 eV per atom

```
data_LaMnNi
_space_group_name_H-M_alt 'P 1'
_space_group_IT_number 1
_cell_length_a 4.6611
_cell_length_b 4.6611
_cell_length_c 4.6611
_cell_angle_alpha 60.00
_cell_angle_beta 60.00
_cell_angle_gamma 60.00
loop_
_space_group_symop_operation_xyz
'x,y,z'
loop_
_atom_site_label
_atom_site_fract_x
_atom_site_fract_y
_atom_site_fract_z
_atom_site_occupancy
Ni1 0.5000 0.5000 0.5000 1
Mn1 0.0000 0.0000 0.0000 1
La1 0.7500 0.7500 0.7500 1
```

La2MnNi: optimized geometry, PBE-GGA.

Calculated values
N(E_F) = 4.340 states/eV per cell
Space-group type = R3m
E = -6.24 eV/atom
Calculated formation energy = -0.0398 eV per atom

```
data_La2MnNi
_space_group_name_H-M_alt 'P 1'
_space_group_IT_number 1
_cell_length_a 7.6135
_cell_length_b 7.6135
_cell_length_c 7.6135
_cell_angle_alpha 31.51
_cell_angle_beta 31.51
_cell_angle_gamma 31.51
loop_
_space_group_symop_operation_xyz
'x,y,z'
loop_
_atom_site_label
_atom_site_fract_x
_atom_site_fract_y
_atom_site_fract_z
_atom_site_occupancy
Mn1 0.4580 0.4580 0.4580 1
La1 0.0360 0.0360 0.0360 1
La2 0.2143 0.2143 0.2143 1
Ni1 0.7917 0.7917 0.7917 1
```

calculated formation energy of number 2 (La2MnNi)?
0.1913 eV per atom

Among the records above, which one has the highest calculated formation energy?
LaMnNi

Repeat the fourth record exactly.
La2MnNi: optimized geometry, PBE-GGA.

Calculated values
N(E_F) = 4.340 states/eV per cell
Space-group type = R3m
E = -6.24 eV/atom
Calculated formation energy = -0.0398 eV per atom

```
data_La2MnNi
_space_group_name_H-M_alt 'P 1'
_space_group_IT_number 1
_cell_length_a 7.6135
_cell_length_b 7.6135
_cell_length_c 7.6135
_cell_angle_alpha 31.51
_cell_angle_beta 31.51
_cell_angle_gamma 31.51
loop_
_space_group_symop_operation_xyz
'x,y,z'
loop_
_atom_site_label
_atom_site_fract_x
_atom_site_fract_y
_atom_site_fract_z
_atom_site_occupancy
Mn1 0.4580 0.4580 0.4580 1
La1 0.0360 0.0360 0.0360 1
La2 0.2143 0.2143 0.2143 1
Ni1 0.7917 0.7917 0.7917 1
```

The highest N(E_F) belongs to which entry?
number 1